CaCrOF2 | Alexandria | PBE+U | optimized geometry; relative energy among the computed polymorphs = 227.1 kJ/mol of formula units; magnetization = 4.00 μB per cell; DOS at the Fermi energy = 0.285 states/eV/atom
1.0
-0.412 -4.051 1.097
2.035 0.771 3.612
-4.006 0.963 2.052
O F Cr Ca
1 2 1 1
direct
0.000 0.000 0.500
0.000 0.500 0.000
0.500 0.000 0.000
0.500 0.500 0.500
0.000 0.000 0.000